This record from Alexandria describes an optimized crystal structure of LiVPbO4. The functional is PBE with a Hubbard U.

Cell and atoms, written as POSCAR:
```
LiVPbO4
1.0
5.4608 0.0000 0.0000
0.0000 5.8730 0.0000
-1.8063 0.0000 6.8767
Li V Pb O
2 2 2 8
direct
0.1623 0.2500 0.1079 Li
0.8377 0.7500 0.8921 Li
0.4139 0.7500 0.1480 V
0.5861 0.2500 0.8520 V
0.2961 0.7500 0.6072 Pb
0.7039 0.2500 0.3928 Pb
0.2011 0.7500 0.9198 O
0.2858 0.2500 0.8703 O
0.3682 0.5022 0.2827 O
0.3682 0.9978 0.2827 O
0.6318 0.0022 0.7173 O
0.6318 0.4978 0.7173 O
0.7142 0.7500 0.1297 O
0.7989 0.2500 0.0802 O
```

Computed properties:
M_tot = 0.00 μB/f.u.
density = 5.0 Mg/m³
energy = -6.50 eV/atom
density of states at the Fermi level = 0.00 states/eV per cell